Computed, not measured: crystalline Na2Be2TcO6 at its relaxed geometry at the PBE level of DFT.

Cell lengths 5.175, 5.175, 5.895 Å; angles 90.00, 90.00, 120.00 degrees
Positions (direct):
Na 0.333 0.667 0.338
Na 0.667 0.333 0.662
Be 0.333 0.667 0.831
Be 0.667 0.333 0.169
Tc 0.000 0.000 0.000
O 0.085 0.339 0.810
O 0.254 0.915 0.810
O 0.339 0.254 0.190
O 0.661 0.746 0.810
O 0.746 0.085 0.190
O 0.915 0.661 0.190

The calculation puts the density of states at the Fermi level at 3.738 states/eV/f.u. The calculated total energy comes out at -69.7 eV per cell. Its formation energy from raw total energies is -1.773 eV/atom.